1.
DFT (PBE) results for crystalline BaMg4Ag at its relaxed geometry.

Values from the calculation:
Crystal system ... cubic
Spin magnetization ... 0.001 μB per cell

Unit cell a=8.700 b=8.700 c=8.700 alpha=90.00 beta=90.00 gamma=90.00
Space group F-43m (No. 216)
Unique sites:
Ba  0.000  0.000  0.000 (multiplicity 4)
Mg  0.124  0.124  0.624 (multiplicity 16)
Ag  0.250  0.250  0.250 (multiplicity 4)

=====

2.
DFT (PBE) results for crystalline BaMg9Ag3 at its relaxed geometry.

Values from the calculation:
Crystal system ... monoclinic
Spin magnetization ... 0.000 μB per cell

Unit cell a=5.703 b=14.690 c=7.689 alpha=90.00 beta=110.46 gamma=90.00
Space group C2/m (No. 12)
Unique sites:
Ba  0.000  0.000  0.000 (multiplicity 2)
Mg  0.000  0.000  0.500 (multiplicity 2)
Mg  0.098  0.387  0.219 (multiplicity 8)
Mg  0.166  0.179  0.344 (multiplicity 8)
Ag  0.000  0.500  0.500 (multiplicity 2)
Ag  0.250  0.250  0.000 (multiplicity 4)

=====

3.
DFT (PBE) results for crystalline BaMg3Ag2 at its relaxed geometry.

Values from the calculation:
Crystal system ... monoclinic
Spin magnetization ... 0.000 μB per cell

Unit cell a=17.715 b=4.603 c=8.831 alpha=90.00 beta=116.27 gamma=90.00
Space group C2/m (No. 12)
Unique sites:
Ba  0.149  0.000  0.069 (multiplicity 4)
Mg  0.038  0.000  0.371 (multiplicity 4)
Mg  0.093  0.500  0.672 (multiplicity 4)
Mg  0.183  0.500  0.448 (multiplicity 4)
Ag  0.018  0.500  0.174 (multiplicity 4)
Ag  0.189  0.000  0.665 (multiplicity 4)

=====

4.
DFT (PBE) results for crystalline Ba3Mg3Ag2 at its relaxed geometry.

Values from the calculation:
Crystal system ... orthorhombic
Spin magnetization ... 0.000 μB per cell

Unit cell a=9.317 b=17.854 c=6.616 alpha=90.00 beta=90.00 gamma=90.00
Space group Pnma (No. 62)
Unique sites:
Ba  0.039  0.108  0.111 (multiplicity 8)
Ba  0.179  0.250  0.614 (multiplicity 4)
Mg  0.167  0.750  0.598 (multiplicity 4)
Mg  0.172  0.034  0.603 (multiplicity 8)
Ag  0.114  0.604  0.383 (multiplicity 8)

=====

5.
DFT (PBE) results for crystalline Ba2Mg2Ag at its relaxed geometry.

Values from the calculation:
Crystal system ... monoclinic
Spin magnetization ... 0.000 μB per cell

Unit cell a=12.537 b=7.377 c=8.138 alpha=90.00 beta=109.01 gamma=90.00
Space group C2/c (No. 15)
Unique sites:
Ba  0.165  0.081  0.143 (multiplicity 8)
Mg  0.087  0.387  0.455 (multiplicity 8)
Ag  0.000  0.298  0.750 (multiplicity 4)

=====

6.
DFT (PBE) results for crystalline Ba2Mg3Ag2 at its relaxed geometry.

Values from the calculation:
Crystal system ... monoclinic
Spin magnetization ... 0.000 μB per cell

Unit cell a=11.802 b=4.652 c=7.963 alpha=90.00 beta=96.58 gamma=90.00
Space group C2/m (No. 12)
Unique sites:
Ba  0.129  0.000  0.343 (multiplicity 4)
Mg  0.000  0.500  0.000 (multiplicity 2)
Mg  0.173  0.000  0.874 (multiplicity 4)
Ag  0.083  0.500  0.674 (multiplicity 4)

=====

7.
DFT (PBE) results for crystalline Ba2MgAg at its relaxed geometry.

Values from the calculation:
Crystal system ... tetragonal
Spin magnetization ... 0.000 μB per cell

Unit cell a=5.074 b=5.074 c=11.761 alpha=90.00 beta=90.00 gamma=90.00
Space group I-4m2 (No. 119)
Unique sites:
Ba  0.000  0.000  0.000 (multiplicity 2)
Ba  0.000  0.500  0.250 (multiplicity 2)
Mg  0.000  0.500  0.750 (multiplicity 2)
Ag  0.000  0.000  0.500 (multiplicity 2)

=====

8.
DFT (PBE) results for crystalline BaMg2Ag3 at its relaxed geometry.

Values from the calculation:
Crystal system ... orthorhombic
Spin magnetization ... 0.000 μB per cell

Unit cell a=11.440 b=8.995 c=5.985 alpha=90.00 beta=90.00 gamma=90.00
Space group Cmcm (No. 63)
Unique sites:
Ba  0.000  0.185  0.250 (multiplicity 4)
Mg  0.206  0.500  0.000 (multiplicity 8)
Ag  0.000  0.430  0.750 (multiplicity 4)
Ag  0.186  0.223  0.750 (multiplicity 8)

=====

9.
DFT (PBE) results for crystalline Ba2Mg9Ag6 at its relaxed geometry.

Values from the calculation:
Crystal system ... hexagonal
Spin magnetization ... 0.000 μB per cell

Unit cell a=6.1825 b=6.1825 c=13.7114 alpha=90.00 beta=90.00 gamma=120.00
Space group P6/mmm (No. 191)
Unique sites:
Ba  0.0000  0.0000  0.1712 (multiplicity 2)
Mg  0.0000  0.5000  0.0000 (multiplicity 3)
Mg  0.0000  0.5000  0.3411 (multiplicity 6)
Ag  0.3333  0.6667  0.1719 (multiplicity 4)
Ag  0.3333  0.6667  0.5000 (multiplicity 2)

=====

10.
DFT (PBE) results for crystalline BaMg2Ag at its relaxed geometry.

Values from the calculation:
Crystal system ... monoclinic
Spin magnetization ... 0.000 μB per cell

Unit cell a=3.870 b=4.750 c=6.980 alpha=90.00 beta=105.85 gamma=90.00
Space group Pm (No. 6)
Unique sites:
Ba  0.000  0.000  0.000 (multiplicity 1)
Mg  0.266  0.000  0.526 (multiplicity 1)
Mg  0.704  0.500  0.404 (multiplicity 1)
Ag  0.369  0.500  0.735 (multiplicity 1)

=====

11.
DFT (PBE) results for crystalline BaMg2Ag4 at its relaxed geometry.

Values from the calculation:
Crystal system ... tetragonal
Spin magnetization ... 0.000 μB per cell

Unit cell a=7.417 b=7.417 c=5.859 alpha=90.00 beta=90.00 gamma=90.00
Space group I4/mmm (No. 139)
Unique sites:
Ba  0.000  0.000  0.000 (multiplicity 2)
Mg  0.000  0.500  0.250 (multiplicity 4)
Ag  0.192  0.192  0.500 (multiplicity 8)

=====

12.
DFT (PBE) results for crystalline BaMg6Ag4 at its relaxed geometry.

Values from the calculation:
Crystal system ... hexagonal
Spin magnetization ... 0.000 μB per cell

Unit cell a=8.0764 b=8.0764 c=4.5379 alpha=90.00 beta=90.00 gamma=120.00
Space group P-6m2 (No. 187)
Unique sites:
Ba  0.0000  0.0000  0.0000 (multiplicity 1)
Mg  0.2054  0.4108  0.5000 (multiplicity 3)
Mg  0.5325  0.0650  0.0000 (multiplicity 3)
Ag  0.3333  0.6667  0.0000 (multiplicity 1)
Ag  0.4145  0.2072  0.5000 (multiplicity 3)

=====

no.,VASP energy (eV/atom),ΔH_f (0 K) (eV/atom)
1,-1.81,0.050
2,-2.05,-0.143
3,-2.26,-0.192
4,-2.18,-0.153
5,-2.09,-0.116
6,-2.20,-0.151
7,-2.06,0.017
8,-2.51,-0.231
9,-2.16,-0.083
10,-2.06,-0.069
11,-2.58,-0.223
12,-2.28,-0.197